PBE La2InBr, optimized geometry; D(E_F) = 3.4 states/eV/cell; calculated total energy = -4.090 eV/atom; ΔE to the lowest computed polymorph = 360 meV/atom; E_form (uncorrected) = -523 meV per atom; space-group type = R3m, No. 160; spin magnetization = 0.000 μB/f.u.
1.0
-5.725 4.404 8.431
-2.743 2.935 10.349
-2.461 6.402 8.729
In Br La
1 1 2
Cartesian
-8.152 10.250 20.521
-5.595 7.035 14.084
-2.661 3.346 6.699
-10.913 13.722 27.470